# PBE Ac4Mg3Pb, optimized geometry
data_Ac4Mg3Pb
_space_group_name_H-M_alt 'P 4/m m m'
_space_group_IT_number 123
_space_group_name_Hall '-P 4 2'
_cell_length_a 4.1232
_cell_length_b 4.1232
_cell_length_c 16.5952
_cell_angle_alpha 90.00
_cell_angle_beta 90.00
_cell_angle_gamma 90.00
loop_
_atom_site_label
_atom_site_fract_x
_atom_site_fract_y
_atom_site_fract_z
_atom_site_occupancy
Ac1 0.0000 0.0000 0.1237 1
Ac2 0.0000 0.0000 0.3724 1
Mg1 0.5000 0.5000 0.0000 1
Mg2 0.5000 0.5000 0.2450 1
Pb1 0.5000 0.5000 0.5000 1
# energy relative to the elements: -0.173 eV/atom
# VASP energy: -26.31 eV/cell

# PBE Ac2Mg3Pb, optimized geometry
data_Ac2Mg3Pb
_space_group_name_H-M_alt 'P m m 2'
_space_group_IT_number 25
_cell_length_a 3.8474
_cell_length_b 5.3857
_cell_length_c 9.2317
_cell_angle_alpha 90.00
_cell_angle_beta 90.00
_cell_angle_gamma 90.00
loop_
_space_group_symop_operation_xyz
'x,y,z'
'-x,-y,z'
'-x,y,z'
'x,-y,z'
loop_
_atom_site_label
_atom_site_fract_x
_atom_site_fract_y
_atom_site_fract_z
_atom_site_occupancy
Ac1 0.0000 0.0000 0.0000 1
Ac2 0.0000 0.5000 0.4922 1
Mg1 0.5000 0.0000 0.6701 1
Mg2 0.5000 0.5000 0.1572 1
Mg3 0.5000 0.5000 0.8261 1
Pb1 0.5000 0.0000 0.3343 1
# energy relative to the elements: -0.197 eV/atom
# VASP energy: -17.89 eV/cell

# PBE Ac2Mg3Pb2, optimized geometry
data_Ac2Mg3Pb2
_space_group_name_H-M_alt 'C 1 2/m 1'
_space_group_IT_number 12
_cell_length_a 12.0671
_cell_length_b 4.7545
_cell_length_c 7.8677
_cell_angle_alpha 90.00
_cell_angle_beta 99.05
_cell_angle_gamma 90.00
loop_
_space_group_symop_operation_xyz
'x,y,z'
'-x,-y,-z'
'-x,y,-z'
'x,-y,z'
'x+1/2,y+1/2,z'
'-x+1/2,-y+1/2,-z'
'-x+1/2,y+1/2,-z'
'x+1/2,-y+1/2,z'
loop_
_atom_site_label
_atom_site_fract_x
_atom_site_fract_y
_atom_site_fract_z
_atom_site_occupancy
Ac1 0.1201 0.0000 0.3379 1
Mg1 0.0000 0.5000 0.0000 1
Mg2 0.1902 0.0000 0.8881 1
Pb1 0.0977 0.5000 0.6643 1
# energy relative to the elements: -0.256 eV/atom
# VASP energy: -44.42 eV/cell

# PBE AcMg4Pb, optimized geometry
data_AcMg4Pb
_space_group_name_H-M_alt 'F -4 3 m'
_space_group_IT_number 216
_space_group_name_Hall 'F -4 2 3'
_cell_length_a 8.7788
_cell_length_b 8.7788
_cell_length_c 8.7788
_cell_angle_alpha 90.00
_cell_angle_beta 90.00
_cell_angle_gamma 90.00
loop_
_atom_site_label
_atom_site_fract_x
_atom_site_fract_y
_atom_site_fract_z
_atom_site_occupancy
Ac1 0.0000 0.0000 0.0000 1
Mg1 0.1241 0.1241 0.3759 1
Pb1 0.2500 0.2500 0.7500 1
# energy relative to the elements: -0.056 eV/atom
# VASP energy: -58.13 eV/cell

# PBE Ac3Mg2Pb3, optimized geometry
data_Ac3Mg2Pb3
_space_group_name_H-M_alt 'I m m m'
_space_group_IT_number 71
_space_group_name_Hall '-I 2 2'
_cell_length_a 4.6538
_cell_length_b 5.0489
_cell_length_c 22.7658
_cell_angle_alpha 90.00
_cell_angle_beta 90.00
_cell_angle_gamma 90.00
loop_
_atom_site_label
_atom_site_fract_x
_atom_site_fract_y
_atom_site_fract_z
_atom_site_occupancy
Ac1 0.0000 0.0000 0.0000 1
Ac2 0.0000 0.5000 0.1295 1
Mg1 0.0000 0.0000 0.2499 1
Pb1 0.0000 0.0000 0.5000 1
Pb2 0.0000 0.5000 0.3388 1
# energy relative to the elements: -0.357 eV/atom
# VASP energy: -58.99 eV/cell

# PBE AcMgPb, optimized geometry
data_AcMgPb
_space_group_name_H-M_alt 'F -4 3 m'
_space_group_IT_number 216
_space_group_name_Hall 'F -4 2 3'
_cell_length_a 7.5883
_cell_length_b 7.5883
_cell_length_c 7.5883
_cell_angle_alpha 90.00
_cell_angle_beta 90.00
_cell_angle_gamma 90.00
loop_
_atom_site_label
_atom_site_fract_x
_atom_site_fract_y
_atom_site_fract_z
_atom_site_occupancy
Ac1 0.0000 0.0000 0.0000 1
Mg1 0.0000 0.0000 0.5000 1
Pb1 0.2500 0.2500 0.2500 1
# energy relative to the elements: -0.188 eV/atom
# VASP energy: -39.90 eV/cell

# PBE AcMg6Pb6, optimized geometry
data_AcMg6Pb6
_space_group_name_H-M_alt 'I m m m'
_space_group_IT_number 71
_space_group_name_Hall '-I 2 2'
_cell_length_a 6.2904
_cell_length_b 10.4612
_cell_length_c 10.8815
_cell_angle_alpha 90.00
_cell_angle_beta 90.00
_cell_angle_gamma 90.00
loop_
_atom_site_label
_atom_site_fract_x
_atom_site_fract_y
_atom_site_fract_z
_atom_site_occupancy
Ac1 0.0000 0.0000 0.0000 1
Mg1 0.0000 0.2578 0.5000 1
Mg2 0.2500 0.2500 0.2500 1
Pb1 0.0000 0.0000 0.3406 1
Pb2 0.0000 0.3409 0.0000 1
Pb3 0.0000 0.5000 0.3284 1
# energy relative to the elements: -0.134 eV/atom
# VASP energy: -75.33 eV/cell

# PBE Ac2MgPb, optimized geometry
data_Ac2MgPb
_space_group_name_H-M_alt 'R -3 m'
_space_group_IT_number 166
_space_group_name_Hall '-R 3 2"'
_cell_length_a 3.7218
_cell_length_b 3.7218
_cell_length_c 38.6632
_cell_angle_alpha 90.00
_cell_angle_beta 90.00
_cell_angle_gamma 120.00
loop_
_atom_site_label
_atom_site_fract_x
_atom_site_fract_y
_atom_site_fract_z
_atom_site_occupancy
Ac1 0.0000 0.0000 0.0920 1
Mg1 0.0000 0.0000 0.0000 1
Pb1 0.0000 0.0000 0.5000 1
# energy relative to the elements: 0.130 eV/atom
# VASP energy: -39.00 eV/cell